Computed, not measured: Rb3Mn2I2F5 after structural relaxation at the PBE with a Hubbard U level of DFT.

```
data_Rb3Mn2I2F5
_chemical_formula_sum 'Rb6 Mn4 I4 F10'
_cell_length_a 4.5838
_cell_length_b 4.5838
_cell_length_c 26.5830
_cell_angle_alpha 90.00
_cell_angle_beta 90.00
_cell_angle_gamma 90.00
_symmetry_space_group_name_H-M 'I 4/m m m'
_symmetry_Int_Tables_number 139
_symmetry_space_group_name_Hall '-I 4 2'
loop_
_atom_site_label
_atom_site_fract_x
_atom_site_fract_y
_atom_site_fract_z
_atom_site_occupancy
Rb1 0.0000 0.0000 0.0000 1
Rb2 0.0000 0.0000 0.1477 1
Mn1 0.0000 0.0000 0.4211 1
I1 0.0000 0.0000 0.3109 1
F1 0.0000 0.0000 0.5000 1
F2 0.0000 0.5000 0.0758 1
```

Output
* total DFT energy (no corrections): -114.06 eV/cell
* M_tot: 0.83 μB per atom


Computed, not measured: MnRh2IF after structural relaxation at the PBE with a Hubbard U level of DFT.

```
data_MnRh2IF
_chemical_formula_sum 'Mn1 Rh2 I1 F1'
_cell_length_a 4.7618
_cell_length_b 4.7618
_cell_length_c 3.9379
_cell_angle_alpha 90.00
_cell_angle_beta 90.00
_cell_angle_gamma 90.00
_symmetry_space_group_name_H-M 'P 4/m m m'
_symmetry_Int_Tables_number 123
_symmetry_space_group_name_Hall '-P 4 2'
loop_
_atom_site_label
_atom_site_fract_x
_atom_site_fract_y
_atom_site_fract_z
_atom_site_occupancy
Mn1 0.0000 0.0000 0.0000 1
Rh1 0.0000 0.5000 0.5000 1
I1 0.5000 0.5000 0.0000 1
F1 0.0000 0.0000 0.5000 1
```

Output
* total DFT energy (no corrections): -24.31 eV/cell
* M_tot: 1.10 μB per atom


Computed, not measured: MnTeI2F after structural relaxation at the PBE with a Hubbard U level of DFT.

```
data_MnTeI2F
_chemical_formula_sum 'Mn1 Te1 I2 F1'
_cell_length_a 5.9778
_cell_length_b 5.9778
_cell_length_c 4.2677
_cell_angle_alpha 90.00
_cell_angle_beta 90.00
_cell_angle_gamma 90.00
_symmetry_space_group_name_H-M 'P 4/m m m'
_symmetry_Int_Tables_number 123
_symmetry_space_group_name_Hall '-P 4 2'
loop_
_atom_site_label
_atom_site_fract_x
_atom_site_fract_y
_atom_site_fract_z
_atom_site_occupancy
Mn1 0.0000 0.0000 0.0000 1
Te1 0.5000 0.5000 0.0000 1
I1 0.0000 0.5000 0.5000 1
F1 0.5000 0.5000 0.5000 1
```

Output
* energy above the most stable polymorph in this dataset: 0.00 eV per formula unit
* M_tot: 1.19 μB per atom


Computed, not measured: MnTeI2F after structural relaxation at the PBE with a Hubbard U level of DFT.

```
data_MnTeI2F
_chemical_formula_sum 'Mn1 Te1 I2 F1'
_cell_length_a 5.5318
_cell_length_b 5.5318
_cell_length_c 5.5127
_cell_angle_alpha 90.00
_cell_angle_beta 90.00
_cell_angle_gamma 90.00
_symmetry_space_group_name_H-M 'P 4/m m m'
_symmetry_Int_Tables_number 123
_symmetry_space_group_name_Hall '-P 4 2'
loop_
_atom_site_label
_atom_site_fract_x
_atom_site_fract_y
_atom_site_fract_z
_atom_site_occupancy
Mn1 0.0000 0.0000 0.0000 1
Te1 0.0000 0.0000 0.5000 1
I1 0.0000 0.5000 0.0000 1
F1 0.5000 0.5000 0.5000 1
```

Output
* energy above the most stable polymorph in this dataset: 0.11 eV per formula unit
* M_tot: 0.52 μB per atom


Computed, not measured: MnTl2I2F2 after structural relaxation at the PBE with a Hubbard U level of DFT.

```
data_MnTl2I2F2
_chemical_formula_sum 'Mn2 Tl4 I4 F4'
_cell_length_a 4.6206
_cell_length_b 4.6206
_cell_length_c 18.1075
_cell_angle_alpha 90.00
_cell_angle_beta 90.00
_cell_angle_gamma 90.00
_symmetry_space_group_name_H-M 'I 4/m m m'
_symmetry_Int_Tables_number 139
_symmetry_space_group_name_Hall '-I 4 2'
loop_
_atom_site_label
_atom_site_fract_x
_atom_site_fract_y
_atom_site_fract_z
_atom_site_occupancy
Mn1 0.0000 0.0000 0.0000 1
Tl1 0.0000 0.0000 0.3897 1
I1 0.0000 0.0000 0.1625 1
F1 0.0000 0.5000 0.0000 1
```

Output
* total DFT energy (no corrections): -57.51 eV/cell
* M_tot: 0.71 μB per atom


Computed, not measured: YMnIF2 after structural relaxation at the PBE with a Hubbard U level of DFT.

```
data_YMnIF2
_chemical_formula_sum 'Y1 Mn1 I1 F2'
_cell_length_a 4.8420
_cell_length_b 4.8420
_cell_length_c 5.8422
_cell_angle_alpha 90.00
_cell_angle_beta 90.00
_cell_angle_gamma 90.00
_symmetry_space_group_name_H-M 'P 4/m m m'
_symmetry_Int_Tables_number 123
_symmetry_space_group_name_Hall '-P 4 2'
loop_
_atom_site_label
_atom_site_fract_x
_atom_site_fract_y
_atom_site_fract_z
_atom_site_occupancy
Y1 0.0000 0.0000 0.0000 1
Mn1 0.5000 0.5000 0.0000 1
I1 0.0000 0.0000 0.5000 1
F1 0.0000 0.5000 0.5000 1
```

Output
* total DFT energy (no corrections): -21.10 eV/cell
* M_tot: 0.89 μB per atom


Computed, not measured: MoI3F after structural relaxation at the PBE with a Hubbard U level of DFT.

```
data_MoI3F
_chemical_formula_sum 'Mo1 I3 F1'
_cell_length_a 5.3609
_cell_length_b 5.3609
_cell_length_c 5.3609
_cell_angle_alpha 90.00
_cell_angle_beta 90.00
_cell_angle_gamma 90.00
_symmetry_space_group_name_H-M 'P m -3 m'
_symmetry_Int_Tables_number 221
_symmetry_space_group_name_Hall '-P 4 2 3'
loop_
_atom_site_label
_atom_site_fract_x
_atom_site_fract_y
_atom_site_fract_z
_atom_site_occupancy
Mo1 0.0000 0.0000 0.0000 1
I1 0.0000 0.5000 0.5000 1
F1 0.5000 0.5000 0.5000 1
```

Output
* energy above the most stable polymorph in this dataset: 1.93 eV per formula unit
* M_tot: 0.87 μB per atom


Computed, not measured: MoI4F2 after structural relaxation at the PBE with a Hubbard U level of DFT.

```
data_MoI4F2
_chemical_formula_sum 'Mo2 I8 F4'
_cell_length_a 5.6671
_cell_length_b 5.6671
_cell_length_c 15.9266
_cell_angle_alpha 90.00
_cell_angle_beta 90.00
_cell_angle_gamma 90.00
_symmetry_space_group_name_H-M 'I 4/m m m'
_symmetry_Int_Tables_number 139
_symmetry_space_group_name_Hall '-I 4 2'
loop_
_atom_site_label
_atom_site_fract_x
_atom_site_fract_y
_atom_site_fract_z
_atom_site_occupancy
Mo1 0.0000 0.0000 0.0000 1
I1 0.0000 0.0000 0.2103 1
I2 0.0000 0.5000 0.0000 1
F1 0.0000 0.0000 0.3333 1
```

Output
* total DFT energy (no corrections): -37.07 eV/cell
* M_tot: 0.58 μB per atom


Computed, not measured: MoI3F after structural relaxation at the PBE with a Hubbard U level of DFT.

```
data_MoI3F
_chemical_formula_sum 'Mo1 I3 F1'
_cell_length_a 5.6492
_cell_length_b 5.6492
_cell_length_c 5.6492
_cell_angle_alpha 90.00
_cell_angle_beta 90.00
_cell_angle_gamma 90.00
_symmetry_space_group_name_H-M 'P m -3 m'
_symmetry_Int_Tables_number 221
_symmetry_space_group_name_Hall '-P 4 2 3'
loop_
_atom_site_label
_atom_site_fract_x
_atom_site_fract_y
_atom_site_fract_z
_atom_site_occupancy
Mo1 0.0000 0.0000 0.0000 1
I1 0.0000 0.0000 0.5000 1
F1 0.5000 0.5000 0.5000 1
```

Output
* energy above the most stable polymorph in this dataset: 0.00 eV per formula unit
* M_tot: 0.48 μB per atom


Computed, not measured: Mo3IF after structural relaxation at the PBE with a Hubbard U level of DFT.

```
data_Mo3IF
_chemical_formula_sum 'Mo3 I1 F1'
_cell_length_a 5.9098
_cell_length_b 5.9098
_cell_length_c 5.9098
_cell_angle_alpha 90.00
_cell_angle_beta 90.00
_cell_angle_gamma 90.00
_symmetry_space_group_name_H-M 'P m -3 m'
_symmetry_Int_Tables_number 221
_symmetry_space_group_name_Hall '-P 4 2 3'
loop_
_atom_site_label
_atom_site_fract_x
_atom_site_fract_y
_atom_site_fract_z
_atom_site_occupancy
Mo1 0.0000 0.0000 0.5000 1
I1 0.0000 0.0000 0.0000 1
F1 0.5000 0.5000 0.5000 1
```

Output
* energy above the most stable polymorph in this dataset: 0.00 eV per formula unit
* M_tot: 3.13 μB per atom


Computed, not measured: Mo3IF after structural relaxation at the PBE with a Hubbard U level of DFT.

```
data_Mo3IF
_chemical_formula_sum 'Mo3 I1 F1'
_cell_length_a 4.5634
_cell_length_b 4.5634
_cell_length_c 4.5634
_cell_angle_alpha 90.00
_cell_angle_beta 90.00
_cell_angle_gamma 90.00
_symmetry_space_group_name_H-M 'P m -3 m'
_symmetry_Int_Tables_number 221
_symmetry_space_group_name_Hall '-P 4 2 3'
loop_
_atom_site_label
_atom_site_fract_x
_atom_site_fract_y
_atom_site_fract_z
_atom_site_occupancy
Mo1 0.0000 0.0000 0.5000 1
I1 0.5000 0.5000 0.5000 1
F1 0.0000 0.0000 0.0000 1
```

Output
* energy above the most stable polymorph in this dataset: 0.77 eV per formula unit
* M_tot: 1.12 μB per atom


Computed, not measured: MoINF2 after structural relaxation at the PBE with a Hubbard U level of DFT.

```
data_MoINF2
_chemical_formula_sum 'Mo1 I1 N1 F2'
_cell_length_a 4.8552
_cell_length_b 4.8552
_cell_length_c 4.0397
_cell_angle_alpha 90.00
_cell_angle_beta 90.00
_cell_angle_gamma 90.00
_symmetry_space_group_name_H-M 'P 4/m m m'
_symmetry_Int_Tables_number 123
_symmetry_space_group_name_Hall '-P 4 2'
loop_
_atom_site_label
_atom_site_fract_x
_atom_site_fract_y
_atom_site_fract_z
_atom_site_occupancy
Mo1 0.0000 0.0000 0.0000 1
I1 0.5000 0.5000 0.5000 1
N1 0.5000 0.5000 0.0000 1
F1 0.0000 0.5000 0.5000 1
```

Output
* energy above the most stable polymorph in this dataset: 5.32 eV per formula unit
* M_tot: 1.00 μB per atom


Computed, not measured: MoINF2 after structural relaxation at the PBE with a Hubbard U level of DFT.

```
data_MoINF2
_chemical_formula_sum 'Mo1 I1 N1 F2'
_cell_length_a 4.2325
_cell_length_b 4.2325
_cell_length_c 4.3593
_cell_angle_alpha 90.00
_cell_angle_beta 90.00
_cell_angle_gamma 90.00
_symmetry_space_group_name_H-M 'P 4/m m m'
_symmetry_Int_Tables_number 123
_symmetry_space_group_name_Hall '-P 4 2'
loop_
_atom_site_label
_atom_site_fract_x
_atom_site_fract_y
_atom_site_fract_z
_atom_site_occupancy
Mo1 0.0000 0.0000 0.0000 1
I1 0.5000 0.5000 0.5000 1
N1 0.0000 0.0000 0.5000 1
F1 0.0000 0.5000 0.0000 1
```

Output
* energy above the most stable polymorph in this dataset: 0.00 eV per formula unit
* M_tot: 0.45 μB per atom


Computed, not measured: NbMoI2F after structural relaxation at the PBE with a Hubbard U level of DFT.

```
data_NbMoI2F
_chemical_formula_sum 'Nb1 Mo1 I2 F1'
_cell_length_a 5.3871
_cell_length_b 5.3871
_cell_length_c 5.5379
_cell_angle_alpha 90.00
_cell_angle_beta 90.00
_cell_angle_gamma 90.00
_symmetry_space_group_name_H-M 'P 4/m m m'
_symmetry_Int_Tables_number 123
_symmetry_space_group_name_Hall '-P 4 2'
loop_
_atom_site_label
_atom_site_fract_x
_atom_site_fract_y
_atom_site_fract_z
_atom_site_occupancy
Nb1 0.0000 0.0000 0.0000 1
Mo1 0.0000 0.0000 0.5000 1
I1 0.0000 0.5000 0.0000 1
F1 0.5000 0.5000 0.5000 1
```

Output
* total DFT energy (no corrections): -20.09 eV/cell
* M_tot: 0.62 μB per atom


Computed, not measured: MoIO2F after structural relaxation at the PBE with a Hubbard U level of DFT.

```
data_MoIO2F
_chemical_formula_sum 'Mo1 I1 O2 F1'
_cell_length_a 4.1264
_cell_length_b 4.1264
_cell_length_c 4.3678
_cell_angle_alpha 90.00
_cell_angle_beta 90.00
_cell_angle_gamma 90.00
_symmetry_space_group_name_H-M 'P 4/m m m'
_symmetry_Int_Tables_number 123
_symmetry_space_group_name_Hall '-P 4 2'
loop_
_atom_site_label
_atom_site_fract_x
_atom_site_fract_y
_atom_site_fract_z
_atom_site_occupancy
Mo1 0.0000 0.0000 0.0000 1
I1 0.5000 0.5000 0.5000 1
O1 0.0000 0.5000 0.0000 1
F1 0.0000 0.0000 0.5000 1
```

Output
* total DFT energy (no corrections): -24.79 eV/cell
* M_tot: 0.12 μB per atom


Computed, not measured: MoIO2F after structural relaxation at the PBE with a Hubbard U level of DFT.

```
data_MoIO2F
_chemical_formula_sum 'Mo1 I1 O2 F1'
_cell_length_a 4.0410
_cell_length_b 4.0410
_cell_length_c 5.7883
_cell_angle_alpha 90.00
_cell_angle_beta 90.00
_cell_angle_gamma 90.00
_symmetry_space_group_name_H-M 'P 4/m m m'
_symmetry_Int_Tables_number 123
_symmetry_space_group_name_Hall '-P 4 2'
loop_
_atom_site_label
_atom_site_fract_x
_atom_site_fract_y
_atom_site_fract_z
_atom_site_occupancy
Mo1 0.0000 0.0000 0.0000 1
I1 0.5000 0.5000 0.5000 1
O1 0.0000 0.5000 0.5000 1
F1 0.5000 0.5000 0.0000 1
```

Output
* total DFT energy (no corrections): -20.43 eV/cell
* M_tot: 0.95 μB per atom


Computed, not measured: MoIO2F after structural relaxation at the PBE with a Hubbard U level of DFT.

```
data_MoIO2F
_chemical_formula_sum 'Mo1 I1 O2 F1'
_cell_length_a 4.5329
_cell_length_b 4.5329
_cell_length_c 4.1842
_cell_angle_alpha 90.00
_cell_angle_beta 90.00
_cell_angle_gamma 90.00
_symmetry_space_group_name_H-M 'P 4/m m m'
_symmetry_Int_Tables_number 123
_symmetry_space_group_name_Hall '-P 4 2'
loop_
_atom_site_label
_atom_site_fract_x
_atom_site_fract_y
_atom_site_fract_z
_atom_site_occupancy
Mo1 0.0000 0.0000 0.0000 1
I1 0.5000 0.5000 0.0000 1
O1 0.0000 0.5000 0.5000 1
F1 0.5000 0.5000 0.5000 1
```

Output
* total DFT energy (no corrections): -16.48 eV/cell
* M_tot: 1.23 μB per atom


Computed, not measured: MoIO2F after structural relaxation at the PBE with a Hubbard U level of DFT.

```
data_MoIO2F
_chemical_formula_sum 'Mo1 I1 O2 F1'
_cell_length_a 3.8576
_cell_length_b 3.8576
_cell_length_c 5.7764
_cell_angle_alpha 90.00
_cell_angle_beta 90.00
_cell_angle_gamma 90.00
_symmetry_space_group_name_H-M 'P 4/m m m'
_symmetry_Int_Tables_number 123
_symmetry_space_group_name_Hall '-P 4 2'
loop_
_atom_site_label
_atom_site_fract_x
_atom_site_fract_y
_atom_site_fract_z
_atom_site_occupancy
Mo1 0.0000 0.0000 0.0000 1
I1 0.0000 0.0000 0.5000 1
O1 0.0000 0.5000 0.0000 1
F1 0.5000 0.5000 0.5000 1
```

Output
* total DFT energy (no corrections): -24.96 eV/cell
* M_tot: 0.02 μB per atom


Computed, not measured: MoOs2IF after structural relaxation at the PBE with a Hubbard U level of DFT.

```
data_MoOs2IF
_chemical_formula_sum 'Mo1 Os2 I1 F1'
_cell_length_a 4.1909
_cell_length_b 4.1909
_cell_length_c 5.4258
_cell_angle_alpha 90.00
_cell_angle_beta 90.00
_cell_angle_gamma 90.00
_symmetry_space_group_name_H-M 'P 4/m m m'
_symmetry_Int_Tables_number 123
_symmetry_space_group_name_Hall '-P 4 2'
loop_
_atom_site_label
_atom_site_fract_x
_atom_site_fract_y
_atom_site_fract_z
_atom_site_occupancy
Mo1 0.0000 0.0000 0.0000 1
Os1 0.0000 0.5000 0.5000 1
I1 0.5000 0.5000 0.0000 1
F1 0.5000 0.5000 0.5000 1
```

Output
* total DFT energy (no corrections): -24.91 eV/cell
* M_tot: 0.24 μB per atom


Computed, not measured: MoPbIF2 after structural relaxation at the PBE with a Hubbard U level of DFT.

```
data_MoPbIF2
_chemical_formula_sum 'Mo1 Pb1 I1 F2'
_cell_length_a 4.3982
_cell_length_b 4.3982
_cell_length_c 6.3114
_cell_angle_alpha 90.00
_cell_angle_beta 90.00
_cell_angle_gamma 90.00
_symmetry_space_group_name_H-M 'P 4/m m m'
_symmetry_Int_Tables_number 123
_symmetry_space_group_name_Hall '-P 4 2'
loop_
_atom_site_label
_atom_site_fract_x
_atom_site_fract_y
_atom_site_fract_z
_atom_site_occupancy
Mo1 0.0000 0.0000 0.0000 1
Pb1 0.0000 0.0000 0.5000 1
I1 0.5000 0.5000 0.5000 1
F1 0.0000 0.5000 0.0000 1
```

Output
* total DFT energy (no corrections): -22.30 eV/cell
* M_tot: 0.62 μB per atom